No. 1
Below is a relaxed LiAcTe2 crystal, with properties calculated at the GGA-PBE level.

It has space group R-3m (No. 166, hexagonal axes), with a = 3.9468 Å, b = 3.9468 Å, c = 30.5336 Å, α = 90.00°, β = 90.00° and γ = 120.00°. The inequivalent atoms are Li at (0.0000, 0.0000, 0.0000), Ac at (0.0000, 0.0000, 0.5000) and Te at (0.0000, 0.0000, 0.3952).

The energy comes out at -3.46 eV/atom. For the magnetization, the calculation gives 0.000 μB per formula unit. For the uncorrected formation energy, the calculation gives -37.1 kJ/mol of atoms. As for the volume: 34.3 A^3/atom.

***

No. 2
Below is a relaxed LiAc2Te3 crystal, with properties calculated at the GGA-PBE level.

It has space group Pnma (No. 62), with a = 12.795 Å, b = 4.588 Å, c = 13.414 Å, α = 90.00°, β = 90.00° and γ = 90.00°. The inequivalent atoms are Li at (0.246, 0.250, 0.213), Ac at (0.023, 0.750, 0.317), Ac at (0.191, 0.750, 0.992), Te at (0.052, 0.250, 0.127), Te at (0.120, 0.750, 0.554) and Te at (0.210, 0.250, 0.808).

The energy comes out at -4.69 eV/atom. For the magnetization, the calculation gives 0.540 μB per formula unit. For the uncorrected formation energy, the calculation gives -137.8 kJ/mol of atoms. As for the volume: 32.8 A^3/atom.

***

No. 3
Below is a relaxed LiAc2Te crystal, with properties calculated at the GGA-PBE level.

It has space group Fm-3m (No. 225), with a = 8.158 Å, b = 8.158 Å, c = 8.158 Å, α = 90.00°, β = 90.00° and γ = 90.00°. The inequivalent atoms are Li at (0.000, 0.000, 0.000), Ac at (0.250, 0.250, 0.250) and Te at (0.000, 0.000, 0.500).

The energy comes out at -3.78 eV/atom. For the magnetization, the calculation gives 0.028 μB per formula unit. For the uncorrected formation energy, the calculation gives -44.3 kJ/mol of atoms. As for the volume: 33.9 A^3/atom.

***

No. 4
Below is a relaxed LiAc4Te6 crystal, with properties calculated at the GGA-PBE level.

It has space group R-3c (No. 167, hexagonal axes), with a = 12.9621 Å, b = 12.9621 Å, c = 15.6772 Å, α = 90.00°, β = 90.00° and γ = 120.00°. The inequivalent atoms are Li at (0.0000, 0.0000, 0.0000), Ac at (0.0000, 0.0000, 0.2500), Ac at (0.0000, 0.3874, 0.2500) and Te at (0.0316, 0.2020, 0.3899).

The energy comes out at -4.86 eV/atom. For the magnetization, the calculation gives 0.001 μB per formula unit. For the uncorrected formation energy, the calculation gives -142.9 kJ/mol of atoms. As for the volume: 34.6 A^3/atom.